# 1
Density functional theory data (PBE-GGA) for a relaxed structure of YTlRh.

Calculated values
- magnetic moment (μB per cell) = 0.00
- density of states at the Fermi level (states/eV per cell) = 1.127
- ΔE_f (eV/atom) = -0.449
- calculated total energy (eV per atom) = -5.843

Unit cell a=4.707 b=4.707 c=4.707 alpha=60.00 beta=60.00 gamma=60.00
Element x y z (fractional)
Y 0.500 0.500 0.500
Tl 0.000 0.000 0.000
Rh 0.750 0.750 0.750

# 2
Density functional theory data (PBE-GGA) for a relaxed structure of YTl2Rh.

Calculated values
- magnetic moment (μB per cell) = 0.00
- density of states at the Fermi level (states/eV per cell) = 2.818
- ΔE_f (eV/atom) = -0.166
- calculated total energy (eV per atom) = -4.803

Unit cell a=5.315 b=5.315 c=5.315 alpha=127.82 beta=127.82 gamma=76.92
Element x y z (fractional)
Y 0.500 0.500 0.000
Rh 0.750 0.250 0.500
Tl 0.000 0.000 0.000
Tl 0.250 0.750 0.500

Question: Among the records above, which one has the highest ΔE_f?
Answer: YTl2Rh